Record 1
{
  "formula": "NaPmSmIn",
  "functional": "PBE",
  "state": "relaxed",
  "formation_energy_ev_per_atom": -0.152,
  "cell": [[7.784, 0.000, 0.000], [0.000, 7.784, 0.000], [0.000, 0.000, 7.784]],
  "species": ["Na", "Na", "Na", "Na", "Pm", "Pm", "Pm", "Pm", "Sm", "Sm", "Sm", "Sm", "In", "In", "In", "In"],
  "frac_coords": [[0.000, 0.000, 0.000], [0.000, 0.500, 0.500], [0.500, 0.000, 0.500], [0.500, 0.500, 0.000], [0.250, 0.250, 0.750], [0.250, 0.750, 0.250], [0.750, 0.250, 0.250], [0.750, 0.750, 0.750], [0.250, 0.250, 0.250], [0.250, 0.750, 0.750], [0.750, 0.250, 0.750], [0.750, 0.750, 0.250], [0.000, 0.000, 0.500], [0.000, 0.500, 0.000], [0.500, 0.000, 0.000], [0.500, 0.500, 0.500]]
}

***

Record 2
{
  "formula": "Na2PmInSn2",
  "functional": "PBE",
  "state": "relaxed",
  "formation_energy_ev_per_atom": -0.385,
  "cell": [[4.663, 0.000, 0.000], [0.000, 9.491, 0.000], [0.000, 0.000, 7.796]],
  "species": ["Na", "Na", "Na", "Na", "Pm", "Pm", "In", "In", "Sn", "Sn", "Sn", "Sn"],
  "frac_coords": [[0.000, 0.075, 0.000], [0.000, 0.925, 0.500], [0.500, 0.168, 0.308], [0.500, 0.832, 0.808], [0.500, 0.445, 0.935], [0.500, 0.555, 0.435], [0.000, 0.319, 0.605], [0.000, 0.681, 0.105], [0.000, 0.379, 0.219], [0.000, 0.621, 0.719], [0.500, 0.158, 0.718], [0.500, 0.842, 0.218]]
}

***

Record 3
{
  "formula": "NaSrPmIn",
  "functional": "PBE",
  "state": "relaxed",
  "formation_energy_ev_per_atom": -0.145,
  "cell": [[8.064, 0.000, 0.000], [0.000, 8.064, 0.000], [0.000, 0.000, 8.064]],
  "species": ["Na", "Na", "Na", "Na", "Sr", "Sr", "Sr", "Sr", "Pm", "Pm", "Pm", "Pm", "In", "In", "In", "In"],
  "frac_coords": [[0.000, 0.000, 0.000], [0.000, 0.500, 0.500], [0.500, 0.000, 0.500], [0.500, 0.500, 0.000], [0.250, 0.250, 0.750], [0.250, 0.750, 0.250], [0.750, 0.250, 0.250], [0.750, 0.750, 0.750], [0.250, 0.250, 0.250], [0.250, 0.750, 0.750], [0.750, 0.250, 0.750], [0.750, 0.750, 0.250], [0.000, 0.000, 0.500], [0.000, 0.500, 0.000], [0.500, 0.000, 0.000], [0.500, 0.500, 0.500]]
}

***

Record 4
{
  "formula": "NaPmInTe3",
  "functional": "PBE",
  "state": "relaxed",
  "formation_energy_uncorrected_ev_per_fu": -5.2,
  "cell": [[8.981, 0.000, 0.000], [0.000, 4.537, 0.000], [-4.152, 0.000, 12.314]],
  "species": ["Na", "Na", "Pm", "Pm", "In", "In", "Te", "Te", "Te", "Te", "Te", "Te"],
  "frac_coords": [[0.179, 0.250, 0.124], [0.821, 0.750, 0.876], [0.326, 0.750, 0.873], [0.674, 0.250, 0.127], [0.029, 0.250, 0.618], [0.971, 0.750, 0.382], [0.066, 0.250, 0.854], [0.241, 0.750, 0.612], [0.431, 0.750, 0.129], [0.569, 0.250, 0.871], [0.759, 0.250, 0.388], [0.934, 0.750, 0.146]]
}